Record 1
YScNi2B2C2: relaxed, PBE-GGA.

POSCAR file:
```
YScNi2B2C2
1.0
3.506 0.000 0.000
0.000 3.506 0.000
0.000 0.000 7.494
Y Sc Ni B C
1 1 2 2 2
Cartesian
0.000 0.000 0.000
1.753 1.753 5.114
0.000 1.753 2.551
1.753 0.000 2.551
0.000 0.000 3.636
1.753 1.753 1.392
0.000 0.000 5.116
1.753 1.753 7.382
```

Properties
Total magnetic moment: 0.004 μB per formula unit
Final energy: -7.475 eV per atom
Calculated volume: 92.09 Å³/cell

***

Record 2
AcLa2Au: relaxed, PBE-GGA.

POSCAR file:
```
AcLa2Au
1.0
3.975 0.000 0.000
0.000 10.652 0.000
-1.980 0.000 6.301
Ac La Au
2 4 2
Cartesian
0.000 2.663 0.904
1.995 7.989 5.397
0.005 0.518 4.594
0.005 4.807 4.594
1.990 5.844 1.707
1.990 10.133 1.707
0.003 7.989 2.809
1.992 2.663 3.492
```

Properties
E_form: -0.430 eV per atom
Total magnetic moment: 0.015 μB per formula unit
Calculated volume: 266.81 Å³/cell

***

Record 3
Ho3HfTe2C2: relaxed, PBE-GGA.

POSCAR file:
```
Ho3HfTe2C2
1.0
3.713 0.000 0.000
-1.857 3.216 0.000
0.000 0.000 13.863
Ho Hf Te C
3 1 2 2
Cartesian
0.000 0.000 0.000
0.000 0.000 4.436
1.857 1.072 11.250
1.857 1.072 6.905
0.000 0.000 8.935
1.857 1.072 2.241
0.000 2.144 5.860
0.000 2.144 12.527
```

Properties
Total magnetic moment: 0.007 μB per formula unit
Final energy: -6.901 eV per atom
Calculated volume: 165.52 Å³/cell

***

Record 4
CsAgSnTe2Se: relaxed, PBE-GGA.

POSCAR file:
```
CsAgSnTe2Se
1.0
2.103 -8.419 0.000
2.103 8.419 0.000
0.000 0.000 11.562
Cs Ag Sn Te Se
2 2 2 4 2
Cartesian
2.103 4.449 8.672
2.103 -4.449 2.891
2.103 7.524 2.891
2.103 -7.524 8.672
2.103 0.000 0.000
2.103 0.000 5.781
2.103 6.313 0.389
2.103 6.313 5.392
2.103 -6.313 6.170
2.103 -6.313 11.173
2.103 0.770 2.891
2.103 -0.770 8.672
```

Properties
Final energy: -3.303 eV per atom
Calculated volume: 409.47 Å³/cell

***

Record 5
Sm2Y2CIBr4: relaxed, PBE-GGA.

POSCAR file:
```
Sm2Y2CIBr4
1.0
8.968 -1.951 0.000
8.968 1.951 0.000
-2.008 0.000 8.270
Sm Y C I Br
2 2 1 1 4
Cartesian
2.392 0.000 0.606
13.535 0.000 7.664
8.575 0.000 1.580
7.353 0.000 6.690
0.000 0.000 0.000
-1.004 0.000 4.135
5.601 0.000 1.407
4.705 0.000 5.498
11.222 0.000 2.772
10.326 0.000 6.864
```

Properties
Total magnetic moment: 0.378 μB per formula unit
Calculated volume: 289.44 Å³/cell
Energy above the most stable polymorph in this dataset: 4 kJ/mol of formula units

***

Record 6
YCoBiMo: relaxed, PBE-GGA.

POSCAR file:
```
YCoBiMo
1.0
6.745 0.000 0.000
0.000 6.745 0.000
0.000 0.000 6.745
Y Co Bi Mo
4 4 4 4
Cartesian
0.000 0.000 0.000
0.000 3.373 3.373
3.373 0.000 3.373
3.373 3.373 0.000
1.686 1.686 5.059
1.686 5.059 1.686
5.059 1.686 1.686
5.059 5.059 5.059
0.000 0.000 3.373
0.000 3.373 0.000
3.373 0.000 0.000
3.373 3.373 3.373
1.686 1.686 1.686
1.686 5.059 5.059
5.059 1.686 5.059
5.059 5.059 1.686
```

Properties
Total magnetic moment: 0.944 μB per formula unit
Calculated volume: 306.89 Å³/cell
Energy above the most stable polymorph in this dataset: 0 kJ/mol of formula units

***

Record 7
LiMg2Zn2NiPd2: relaxed, PBE-GGA.

POSCAR file:
```
LiMg2Zn2NiPd2
1.0
4.362 0.000 0.000
0.000 4.362 0.000
0.000 0.000 6.115
Li Mg Zn Ni Pd
1 2 2 1 2
Cartesian
0.000 0.000 0.000
0.000 2.181 4.537
2.181 0.000 1.579
0.000 2.181 1.587
2.181 0.000 4.528
2.181 2.181 3.058
0.000 0.000 3.058
2.181 2.181 0.000
```

Properties
Total magnetic moment: 0.001 μB per formula unit
Final energy: -3.376 eV per atom
Calculated volume: 116.33 Å³/cell

***

Record 8
AgF3: relaxed, PBE-GGA.

POSCAR file:
```
AgF3
1.0
-3.797 3.797 3.797
3.797 -3.797 3.797
3.797 3.797 -3.797
Ag F
4 12
Cartesian
1.899 1.899 -1.899
1.899 -1.899 1.899
-1.899 1.899 1.899
1.899 1.899 1.899
3.797 2.483 -1.417
2.380 0.000 1.314
5.214 0.000 1.314
1.314 2.380 0.000
2.483 -1.417 3.797
0.000 1.314 2.380
3.797 2.483 1.417
1.314 5.214 0.000
2.483 1.417 3.797
-1.417 3.797 2.483
1.417 3.797 2.483
0.000 1.314 5.214
```

Properties
Calculated volume: 219.03 Å³/cell
Energy above the most stable polymorph in this dataset: 0 kJ/mol of formula units

***

Record 9
GdLuZn: relaxed, PBE-GGA.

POSCAR file:
```
GdLuZn
1.0
6.936 0.000 0.000
0.000 6.936 0.000
0.000 0.000 6.936
Gd Lu Zn
4 4 4
Cartesian
0.000 0.000 0.000
0.000 3.468 3.468
3.468 0.000 3.468
3.468 3.468 0.000
0.000 0.000 3.468
0.000 3.468 0.000
3.468 0.000 0.000
3.468 3.468 3.468
1.734 1.734 1.734
1.734 5.202 5.202
5.202 1.734 5.202
5.202 5.202 1.734
```

Properties
E_form: 0.015 eV per atom
Total magnetic moment: 0.005 μB per formula unit
Calculated volume: 333.73 Å³/cell
Energy above the most stable polymorph in this dataset: 0 kJ/mol of formula units

***

Record 10
NdY3Pt4: relaxed, PBE-GGA.

POSCAR file:
```
NdY3Pt4
1.0
5.611 0.000 0.000
0.000 4.543 0.000
-0.067 0.000 7.130
Nd Y Pt
1 3 4
Cartesian
0.000 0.000 0.000
1.201 0.000 3.563
2.793 2.271 0.982
3.988 2.271 4.518
0.061 2.271 2.020
1.125 2.271 5.464
2.816 0.000 6.118
3.915 0.000 2.601
```

Properties
E_form: -1.228 eV per atom
Total magnetic moment: 0.002 μB per formula unit
Calculated volume: 181.73 Å³/cell

***

Record 11
ReAg2HgSeS3: relaxed, PBE-GGA.

POSCAR file:
```
ReAg2HgSeS3
1.0
9.232 0.000 0.000
0.000 9.279 0.000
-4.543 0.000 4.736
Re Ag Hg Se S
2 4 2 2 6
Cartesian
0.000 0.000 0.000
4.616 4.640 0.000
-2.206 2.244 2.461
-2.206 7.035 2.461
2.410 2.395 2.461
2.410 6.884 2.461
0.096 4.640 0.005
4.712 0.000 0.005
1.933 0.000 1.303
6.549 4.640 1.303
0.087 2.819 3.502
0.087 6.460 3.502
2.830 4.640 1.275
4.703 1.820 3.502
4.703 7.459 3.502
7.446 0.000 1.275
```

Properties
Total magnetic moment: 0.001 μB per formula unit
Final energy: -4.352 eV per atom
Calculated volume: 405.74 Å³/cell

***

Record 12
SrHgB4: relaxed, PBE-GGA.

POSCAR file:
```
SrHgB4
1.0
3.179 0.000 0.000
0.000 5.487 0.000
0.000 0.000 9.108
Sr Hg B
2 2 8
Cartesian
0.000 0.000 0.000
1.590 2.743 4.554
0.000 0.000 4.554
1.590 2.743 0.000
0.000 1.698 2.360
0.000 1.698 6.749
0.000 3.789 2.360
0.000 3.789 6.749
1.590 1.045 2.195
1.590 1.045 6.914
1.590 4.442 2.195
1.590 4.442 6.914
```

Properties
Calculated volume: 158.89 Å³/cell
Energy above the most stable polymorph in this dataset: 0 kJ/mol of formula units

***

The highest calculated volume belongs to which entry? CsAgSnTe2Se

***

Look up the calculated volume of the seventh one. 116.33 Å³/cell

***

Look up the calculated volume of the tenth one. 181.73 Å³/cell